# Na3Cr3GeS8

Na3Cr3GeS8 after structural relaxation (PBE, Alexandria via LeMat-Bulk).

Structure (POSCAR):
```
Na3Cr3GeS8
1.0
7.0837 0.0000 0.0000
-3.5419 6.1398 -0.0268
0.0000 -4.0738 6.6459
S Cr Na Ge
8 3 3 1
Direct
0.2339 0.9635 0.6971
0.7661 0.0365 0.3029
0.2679 0.5357 0.3038
0.7296 0.9635 0.6971
0.7321 0.4643 0.6962
0.2704 0.0365 0.3029
0.7660 0.5321 0.3028
0.2340 0.4679 0.6972
0.0000 0.5000 0.5000
0.5000 0.0000 0.5000
0.5000 0.5000 0.5000
0.0000 0.0000 0.0000
0.5000 0.5000 0.0000
0.0000 0.5000 0.0000
0.0000 0.0000 0.5000
```

Computed properties:
VASP energy   -5.52 eV per atom
Crystal system   monoclinic
Calculated volume   19.2 A^3/atom
Symmetry   C2/m
Raw formation energy   -0.822 eV per atom

---

# ScTa2Cu

ScTa2Cu after structural relaxation (PBE, Alexandria via LeMat-Bulk).

Structure (POSCAR):
```
ScTa2Cu
1.0
-3.8356 1.8466 -1.8093
-2.9788 -2.6698 -2.3225
-4.1302 -0.9916 1.8311
Ta Sc Cu
2 1 1
Direct
0.0000 0.0000 0.0000
0.2500 0.2500 0.2500
0.7500 0.7500 0.7500
0.5000 0.5000 0.5000
```

Computed properties:
Calculated formation energy   201 meV per atom
VASP energy   -8.33 eV per atom
Crystal system   cubic
Energy above the most stable polymorph in this dataset   134 meV/atom
Calculated volume   17.5 A^3/atom
Symmetry   F-43m

---

Q: Which of these has the lowest calculated volume?
A: ScTa2Cu